CaCu2Se: relaxed, PBE-GGA.

a = 4.3197 Å, b = 3.8580 Å, c = 4.9096 Å
α = 89.94°, β = 90.00°, γ = 90.00°
Closest atoms and distances in Å follow each position.
Fractional positions:
Cu 0.0000 0.2502 0.9912  2 Cu 2.37-2.54, 2 Se 2.51
Ca 0.5000 0.7500 0.7500  4 Se 3.12, 8 Cu 3.13
Cu 0.0000 0.2498 0.5088  2 Cu 2.37-2.54, 2 Se 2.51
Se 0.5000 0.2500 0.2500  4 Cu 2.51

Properties
For the formation energy from raw total energies, the calculation gives -479 meV per atom. As for the crystal system: orthorhombic.

SiSbAs: relaxed, PBE-GGA.

a = 4.7465 Å, b = 4.7465 Å, c = 4.7465 Å
α = 60.00°, β = 60.00°, γ = 60.00°
Closest atoms and distances in Å follow each position.
Fractional positions:
Si 0.0000 0.0000 0.0000  4 Sb 2.91
As 0.5000 0.5000 0.5000  4 Sb 2.91
Sb 0.7500 0.7500 0.7500  4 As 2.91, 4 Si 2.91

Properties
For the formation energy from raw total energies, the calculation gives 671 meV per atom. As for the crystal system: cubic.

BaFe2Pb: relaxed, PBE-GGA.

a = 3.8946 Å, b = 4.2586 Å, c = 6.4747 Å
α = 70.80°, β = 90.00°, γ = 90.00°
Closest atoms and distances in Å follow each position.
Fractional positions:
Ba 0.5000 0.7867 0.8010  7 Fe 3.25-3.57
Fe 0.5000 0.0529 0.2698  2 Fe 2.32
Fe 0.0000 0.1556 0.0640  2 Fe 2.32
Pb 0.0000 0.5048 0.3652  6 Fe 2.81-2.94

Properties
The calculated formation energy is 0.41 eV/atom. As for the crystal system: orthorhombic.

C6Se7: relaxed, PBE-GGA.

a = 6.7077 Å, b = 6.7077 Å, c = 6.7077 Å
α = 77.58°, β = 77.58°, γ = 77.58°
Closest atoms and distances in Å follow each position.
Fractional positions:
Se 0.0275 0.3791 0.3791  1 C 1.99
Se 0.5000 0.5000 0.5000  2 C 2.29
C 0.8615 0.8615 0.8615  1 C 1.26
Se 0.6209 0.9725 0.6209  1 C 1.99
C 0.0476 0.0476 0.0476  2 C 1.26-1.32
C 0.9524 0.9524 0.9524  2 C 1.26-1.32
Se 0.3791 0.0275 0.3791  1 C 1.99
C 0.1385 0.1385 0.1385  1 C 1.26
Se 0.6209 0.6209 0.9725  1 C 1.99
Se 0.9725 0.6209 0.6209  1 C 1.99
C 0.6649 0.6649 0.6649  3 Se 1.99
C 0.3351 0.3351 0.3351  3 Se 1.99
Se 0.3791 0.3791 0.0275  1 C 1.99

Properties
For the formation energy from raw total energies, the calculation gives 1102 meV per atom. As for the crystal system: trigonal.

Gd2PuGa: relaxed, PBE-GGA.

a = 5.2537 Å, b = 5.2537 Å, c = 5.2537 Å
α = 60.00°, β = 60.00°, γ = 60.00°
Closest atoms and distances in Å follow each position.
Fractional positions:
Gd 0.2500 0.2500 0.2500  4 Ga 3.22, 4 Pu 3.22
Ga 0.5000 0.5000 0.5000  8 Gd 3.22
Pu 0.0000 0.0000 0.0000  8 Gd 3.22
Gd 0.7500 0.7500 0.7500  4 Ga 3.22, 4 Pu 3.22

Properties
The calculated formation energy is -0.06 eV/atom. As for the crystal system: cubic.

AlAg2PbSe4: relaxed, PBE-GGA.

a = 7.1180 Å, b = 6.3908 Å, c = 6.3908 Å
α = 75.06°, β = 56.16°, γ = 56.16°
Closest atoms and distances in Å follow each position.
Fractional positions:
Pb 0.0000 0.0000 0.0000  8 Se 3.22-3.36
Ag 0.5000 0.2971 0.7029  4 Se 2.60-2.76
Al 0.0000 0.5000 0.5000  4 Se 2.42
Se 0.0012 0.4778 0.1276  1 Al 2.42, 1 Ag 2.60
Se 0.6066 0.5222 0.8724  1 Al 2.42, 1 Ag 2.60
Ag 0.5000 0.7029 0.2971  4 Se 2.60-2.76
Se 0.9988 0.8724 0.5222  1 Al 2.42, 1 Ag 2.60
Se 0.3934 0.1276 0.4778  1 Al 2.42, 1 Ag 2.60

Properties
For the formation energy from raw total energies, the calculation gives -412 meV per atom. As for the crystal system: orthorhombic.

Number 1: total DFT energy (no corrections) -3.899 eV per atom, magnetization 0.00 μB/cell. Number 2: total DFT energy (no corrections) -4.061 eV per atom, magnetization 0.00 μB/cell. Number 3: total DFT energy (no corrections) -5.228 eV per atom, magnetization 4.88 μB/cell. Number 4: total DFT energy (no corrections) -5.032 eV per atom, magnetization 0.00 μB/cell. Number 5: total DFT energy (no corrections) -11.438 eV per atom, magnetization 8.25 μB/cell. Number 6: total DFT energy (no corrections) -3.798 eV per atom, magnetization 0.00 μB/cell.